Material: BaCaRu3
Method: DFT, PBE
State: optimized geometry

It has space group Pm-3m (No. 221), with a = 5.036 Å, b = 5.036 Å, c = 5.036 Å, α = 90.00°, β = 90.00° and γ = 90.00°. Symmetry generates all atoms from Ba at (0.000, 0.000, 0.000), Ca at (0.500, 0.500, 0.500) and Ru at (0.000, 0.500, 0.500).

The energy above the most stable polymorph in this dataset comes out at 0.0 meV per atom. The total energy is -4.680 eV/atom.

Material: Li2ThCuS4
Method: DFT, PBE
State: optimized geometry

It has space group Cmcm (No. 63), with a = 3.924 Å, b = 12.948 Å, c = 12.114 Å, α = 90.00°, β = 90.00° and γ = 90.00°. Symmetry generates all atoms from Li at (0.000, 0.103, 0.051), Th at (0.000, 0.418, 0.250), Cu at (0.000, 0.320, 0.750), S at (0.000, 0.082, 0.250), S at (0.000, 0.189, 0.625) and S at (0.000, 0.500, 0.000).

For the uncorrected formation energy, the calculation gives -1.1940 eV/atom. The total energy is -5.176 eV/atom.

Material: Zn5NiIr
Method: DFT, PBE
State: optimized geometry

It has space group C2/c (No. 15), with a = 10.395 Å, b = 7.573 Å, c = 8.402 Å, α = 90.00°, β = 118.40° and γ = 90.00°. Symmetry generates all atoms from Zn at (0.000, 0.153, 0.250), Zn at (0.011, 0.328, 0.973), Zn at (0.242, 0.432, 0.896), Ni at (0.000, 0.467, 0.250) and Ir at (0.000, 0.000, 0.000).

The total energy is -2.753 eV/atom.

Material: Li2Pr3Zn4
Method: DFT, PBE
State: optimized geometry

It has space group C2/m (No. 12), with a = 10.759 Å, b = 4.753 Å, c = 8.978 Å, α = 90.00°, β = 118.20° and γ = 90.00°. Symmetry generates all atoms from Li at (0.116, 0.000, 0.283), Pr at (0.000, 0.500, 0.000), Pr at (0.166, 0.000, 0.672), Zn at (0.055, 0.500, 0.390) and Zn at (0.225, 0.000, 0.059).

The total energy is -2.789 eV/atom.

Material: PuTl2Hg
Method: DFT, PBE
State: optimized geometry

It has space group P4/mmm (No. 123), with a = 4.868 Å, b = 4.868 Å, c = 4.550 Å, α = 90.00°, β = 90.00° and γ = 90.00°. Symmetry generates all atoms from Pu at (0.000, 0.000, 0.000), Tl at (0.000, 0.500, 0.500) and Hg at (0.500, 0.500, 0.000).

The energy above the most stable polymorph in this dataset comes out at 0.0 meV per atom. The total energy is -4.885 eV/atom.

Material: DyTm2Zn3
Method: DFT, PBE
State: optimized geometry

It has space group P-3m1 (No. 164), with a = 5.0000 Å, b = 5.0000 Å, c = 6.1357 Å, α = 90.00°, β = 90.00° and γ = 120.00°. Symmetry generates all atoms from Dy at (0.0000, 0.0000, 0.0000), Tm at (0.3333, 0.6667, 0.6628), Zn at (0.0000, 0.0000, 0.5000) and Zn at (0.3333, 0.6667, 0.1661).

The total energy is -3.243 eV/atom.

Material: Tl3AsSe4
Method: DFT, PBE
State: optimized geometry

It has space group Pnma (No. 62), with a = 9.332 Å, b = 11.298 Å, c = 9.731 Å, α = 90.00°, β = 90.00° and γ = 90.00°. Symmetry generates all atoms from Tl at (0.072, 0.054, 0.188), Tl at (0.108, 0.750, 0.389), As at (0.223, 0.750, 0.973), Se at (0.007, 0.250, 0.924), Se at (0.144, 0.078, 0.529) and Se at (0.183, 0.750, 0.731).

For the uncorrected formation energy, the calculation gives -0.2875 eV/atom. The energy above the most stable polymorph in this dataset comes out at 0.0 meV per atom. The total energy is -3.498 eV/atom.

Material: CsBa2YCl8
Method: DFT, PBE
State: optimized geometry

It has space group P2/m (No. 10), with a = 6.877 Å, b = 9.698 Å, c = 6.926 Å, α = 90.00°, β = 90.05° and γ = 90.00°. Symmetry generates all atoms from Cs at (0.000, 0.000, 0.000), Ba at (0.500, 0.254, 0.500), Y at (0.000, 0.500, 0.000), Cl at (0.221, 0.304, 0.847), Cl at (0.244, 0.500, 0.310) and Cl at (0.266, 0.000, 0.398).

For the uncorrected formation energy, the calculation gives -2.3297 eV/atom. The total energy is -4.491 eV/atom.

- What is the total energy in the third record?
  -2.753 eV/atom

- The highest total energy belongs to which entry?
  Zn5NiIr

- What is the total energy in the fourth record?
  -2.789 eV/atom